(1)
Entry from Alexandria: an optimized crystal structure of KTeAsI2 (PBE).

a = 5.9129 Å, b = 5.9129 Å, c = 5.5355 Å
α = 90.00°, β = 90.00°, γ = 90.00°
Closest atoms and distances in Å follow each position.
Space group P4/mmm (No. 123)
Unique sites:
1 K 0.0000 0.0000 0.0000 x1  8 I 4.05, 4 Te 4.18
2 Te 0.5000 0.5000 0.0000 x1  2 As 2.77
3 As 0.5000 0.5000 0.5000 x1  2 Te 2.77, 4 I 2.96
4 I 0.0000 0.5000 0.5000 x2  2 As 2.96

Calculated volume ... 38.71 Å³/atom
Formation energy without anion corrections ... -384 meV per atom
Energy above the most stable polymorph in this dataset ... 0.000 eV per atom
Magnetization ... 0.00 μB/cell



(2)
Entry from Alexandria: an optimized crystal structure of KTeAsI2 (PBE).

a = 6.1597 Å, b = 6.1597 Å, c = 6.3497 Å
α = 90.00°, β = 90.00°, γ = 90.00°
Closest atoms and distances in Å follow each position.
Space group P4/mmm (No. 123)
Unique sites:
1 K 0.0000 0.0000 0.0000 x1  4 I 3.08, 2 Te 3.17
2 Te 0.0000 0.0000 0.5000 x1  2 K 3.17
3 As 0.5000 0.5000 0.5000 x1  4 Te 4.36, 8 I 4.42
4 I 0.0000 0.5000 0.0000 x2  2 K 3.08

Calculated volume ... 48.18 Å³/atom
Formation energy without anion corrections ... 773 meV per atom
Energy above the most stable polymorph in this dataset ... 1.157 eV per atom
Magnetization ... 0.00 μB/cell



(3)
Entry from Alexandria: an optimized crystal structure of K2TlAsI6 (PBE).

a = 8.5431 Å, b = 8.5431 Å, c = 21.6318 Å
α = 90.00°, β = 90.00°, γ = 120.00°
Closest atoms and distances in Å follow each position.
Space group R3 (No. 146, hexagonal axes)
Unique sites:
1 K 0.0000 0.0000 0.0000 x3  6 I 3.60-3.68
2 K 0.0000 0.0000 0.4893 x3  6 I 3.55-3.67
3 Tl 0.0000 0.0000 0.2832 x3  6 I 3.38-3.51
4 As 0.0000 0.0000 0.7893 x3  6 I 2.90-2.91
5 I 0.0396 0.6226 0.5358 x9  1 As 2.91
6 I 0.0854 0.3633 0.3801 x9  1 As 2.90

Calculated volume ... 45.58 Å³/atom
Formation energy without anion corrections ... -773 meV per atom
Magnetization ... 0.00 μB/cell



(4)
Entry from Alexandria: an optimized crystal structure of La2AsI (PBE).

a = 4.3315 Å, b = 4.3315 Å, c = 23.9633 Å
α = 90.00°, β = 90.00°, γ = 120.00°
Closest atoms and distances in Å follow each position.
Space group R3m (No. 160, hexagonal axes)
Unique sites:
1 La 0.0000 0.0000 0.0000 x3  3 As 2.96
2 La 0.0000 0.0000 0.1981 x3  3 As 3.00
3 As 0.0000 0.0000 0.6003 x3  6 La 2.96-3.00
4 I 0.0000 0.0000 0.4317 x3  6 La 3.44-3.46

Calculated volume ... 32.45 Å³/atom
Formation energy without anion corrections ... -1399 meV per atom
Magnetization ... 0.00 μB/cell



(5)
Entry from Alexandria: an optimized crystal structure of La6As5I (PBE).

a = 7.6528 Å, b = 13.2284 Å, c = 7.6223 Å
α = 90.00°, β = 109.56°, γ = 90.00°
Closest atoms and distances in Å follow each position.
Space group C2/m (No. 12)
Unique sites:
1 La 0.2338 0.0000 0.2606 x4  5 As 2.95-3.11, 1 I 3.29
2 La 0.2357 0.1769 0.7392 x8  5 As 3.00-3.15, 1 I 3.29
3 As 0.0000 0.0000 0.5000 x2  6 La 2.95-3.14
4 As 0.0000 0.1676 0.0000 x4  6 La 3.10-3.11
5 As 0.0000 0.3393 0.5000 x4  6 La 3.00-3.15
6 I 0.0000 0.5000 0.0000 x2  6 La 3.29

Calculated volume ... 30.30 Å³/atom
Formation energy without anion corrections ... -1548 meV per atom
Magnetization ... 0.00 μB/cell



(6)
Entry from Alexandria: an optimized crystal structure of La3As2I (PBE).

a = 5.1363 Å, b = 13.8147 Å, c = 10.9547 Å
α = 90.00°, β = 90.00°, γ = 90.00°
Closest atoms and distances in Å follow each position.
Space group Cmcm (No. 63)
Unique sites:
1 La 0.0000 0.0893 0.2500 x4  4 As 2.85-3.00
2 La 0.0000 0.3793 0.0360 x8  3 As 2.88-3.09
3 As 0.0000 0.0000 0.0000 x4  6 La 3.00-3.09
4 As 0.0000 0.5002 0.2500 x4  4 La 2.85-2.88
5 I 0.0000 0.2323 0.7500 x4  8 La 3.56-3.80, 1 As 3.70

Calculated volume ... 32.39 Å³/atom
Formation energy without anion corrections ... -1106 meV per atom
Magnetization ... 0.00 μB/cell



What is the formula in the fourth record?
La2AsI